# PBE+U Ta2CrIO, relaxed
# Volume, Å³/f.u.: 130
# Electronic total energy, eV for the cell shown: -25.53
data_Ta2CrIO
_cell_length_a 5.050
_cell_length_b 5.050
_cell_length_c 5.085
_cell_angle_alpha 90.00
_cell_angle_beta 90.00
_cell_angle_gamma 90.00
_space_group_name_H-M_alt 'P 4/m m m'
_space_group_IT_number 123
_space_group_name_Hall '-P 4 2'
loop_
_atom_site_label
_atom_site_type_symbol
_atom_site_fract_x
_atom_site_fract_y
_atom_site_fract_z
Ta1 Ta 0.000 0.500 0.000
Cr1 Cr 0.000 0.000 0.500
I1 I 0.000 0.000 0.000
O1 O 0.500 0.500 0.500